No. 1
! PmZrTcAu | Alexandria via LeMat-Bulk | GGA-PBE | relaxed; values from VASP
&SYSTEM
  ibrav = 0, nat = 4, ntyp = 4
/
ATOMIC_SPECIES
Pm 145.00 Pm.upf
Zr 91.22 Zr.upf
Tc 98.00 Tc.upf
Au 196.97 Au.upf
CELL_PARAMETERS angstrom
0.000 3.477 3.477
3.477 0.000 3.477
3.477 3.477 0.000
ATOMIC_POSITIONS crystal
Pm 0.000 0.000 0.000
Zr 0.500 0.500 0.500
Tc 0.750 0.750 0.750
Au 0.250 0.250 0.250
! - Fermi-level density of states (states/eV per atom) = 0.790
! - total energy (eV per atom) = -6.98
! - formation energy from the elements (eV/atom) = -0.241
! - size of the total moment (μB/f.u.) = 0.0

---

No. 2
! Tm2NiAg | Alexandria via LeMat-Bulk | GGA-PBE | relaxed; values from VASP
&SYSTEM
  ibrav = 0, nat = 4, ntyp = 3
/
ATOMIC_SPECIES
Tm 168.93 Tm.upf
Ni 58.69 Ni.upf
Ag 107.87 Ag.upf
CELL_PARAMETERS angstrom
1.943 1.122 7.115
-1.943 1.122 7.115
0.000 -2.244 7.115
ATOMIC_POSITIONS crystal
Tm 0.237 0.237 0.237
Tm 0.763 0.763 0.763
Ni 0.500 0.500 0.500
Ag 0.000 0.000 0.000
! - Fermi-level density of states (states/eV per atom) = 0.573
! - total energy (eV per atom) = -4.63
! - formation energy from the elements (eV/atom) = -0.236
! - size of the total moment (μB/f.u.) = 0.0

---

No. 3
! SbTe3 | Alexandria via LeMat-Bulk | GGA-PBE | relaxed; values from VASP
&SYSTEM
  ibrav = 0, nat = 4, ntyp = 2
/
ATOMIC_SPECIES
Sb 121.76 Sb.upf
Te 127.60 Te.upf
CELL_PARAMETERS angstrom
4.825 0.000 0.000
0.000 4.825 0.000
0.000 0.000 4.825
ATOMIC_POSITIONS crystal
Sb 0.000 0.000 0.000
Te 0.000 0.500 0.500
Te 0.500 0.000 0.500
Te 0.500 0.500 0.000
! - Fermi-level density of states (states/eV per atom) = 1.003
! - total energy (eV per atom) = -3.01
! - raw formation energy (meV/atom) = 379.9
! - size of the total moment (μB/f.u.) = 0.0

---

No. 4
! KCd2Si | Alexandria via LeMat-Bulk | GGA-PBE | relaxed; values from VASP
&SYSTEM
  ibrav = 0, nat = 4, ntyp = 3
/
ATOMIC_SPECIES
K 39.10 K.upf
Cd 112.41 Cd.upf
Si 28.09 Si.upf
CELL_PARAMETERS angstrom
4.471 -1.546 0.000
4.471 1.546 0.000
-0.753 0.000 7.825
ATOMIC_POSITIONS crystal
K 0.000 0.000 0.000
Cd 0.510 0.510 0.555
Cd 0.762 0.762 0.330
Si 0.249 0.249 0.697
! - Fermi-level density of states (states/eV per atom) = 0.601
! - total energy (eV per atom) = -1.88
! - raw formation energy (meV/atom) = 206.2
! - size of the total moment (μB/f.u.) = 0.0

---

No. 5
! Ag3PdO3 | Alexandria via LeMat-Bulk | GGA-PBE | relaxed; values from VASP
&SYSTEM
  ibrav = 0, nat = 14, ntyp = 3
/
ATOMIC_SPECIES
Ag 107.87 Ag.upf
Pd 106.42 Pd.upf
O 16.00 O.upf
CELL_PARAMETERS angstrom
3.128 -4.534 0.000
3.128 4.534 0.000
-0.775 0.000 7.140
ATOMIC_POSITIONS crystal
Ag 0.174 0.174 0.371
Ag 0.182 0.818 0.000
Ag 0.306 0.694 0.500
Ag 0.694 0.306 0.500
Ag 0.818 0.182 0.000
Ag 0.826 0.826 0.629
Pd 0.380 0.380 0.790
Pd 0.620 0.620 0.210
O 0.013 0.716 0.266
O 0.284 0.987 0.734
O 0.325 0.325 0.095
O 0.675 0.675 0.905
O 0.716 0.013 0.266
O 0.987 0.284 0.734
! - Fermi-level density of states (states/eV per atom) = 0.430
! - total energy (eV per atom) = -4.01
! - raw formation energy (meV/atom) = 79.0
! - size of the total moment (μB/f.u.) = 0.0

---

No. 6
! Th2SiS | Alexandria via LeMat-Bulk | GGA-PBE | relaxed; values from VASP
&SYSTEM
  ibrav = 0, nat = 4, ntyp = 3
/
ATOMIC_SPECIES
Th 232.04 Th.upf
Si 28.09 Si.upf
S 32.06 S.upf
CELL_PARAMETERS angstrom
2.035 1.175 7.280
-2.035 1.175 7.280
0.000 -2.350 7.280
ATOMIC_POSITIONS crystal
Th 0.000 0.000 0.000
Th 0.178 0.178 0.178
Si 0.590 0.590 0.590
S 0.421 0.421 0.421
! - Fermi-level density of states (states/eV per atom) = 0.415
! - total energy (eV per atom) = -7.26
! - raw formation energy (meV/atom) = -1163.2
! - size of the total moment (μB/f.u.) = 0.0

---

No. 7
! Cs2LaSbSe | Alexandria via LeMat-Bulk | GGA-PBE | relaxed; values from VASP
&SYSTEM
  ibrav = 0, nat = 5, ntyp = 4
/
ATOMIC_SPECIES
Cs 132.91 Cs.upf
La 138.91 La.upf
Sb 121.76 Sb.upf
Se 78.96 Se.upf
CELL_PARAMETERS angstrom
7.734 0.000 0.000
0.000 7.734 0.000
0.000 0.000 5.490
ATOMIC_POSITIONS crystal
Cs 0.000 0.500 0.000
Cs 0.500 0.000 0.000
La 0.000 0.000 0.000
Sb 0.500 0.500 0.500
Se 0.000 0.000 0.500
! - Fermi-level density of states (states/eV per atom) = 1.495
! - total energy (eV per atom) = -2.82
! - raw formation energy (meV/atom) = 24.4
! - size of the total moment (μB/f.u.) = 1.6

---

No. 8
! TlCrCu | Alexandria via LeMat-Bulk | GGA-PBE | relaxed; values from VASP
&SYSTEM
  ibrav = 0, nat = 3, ntyp = 3
/
ATOMIC_SPECIES
Tl 204.38 Tl.upf
Cr 52.00 Cr.upf
Cu 63.55 Cu.upf
CELL_PARAMETERS angstrom
-1.711 1.711 4.588
1.711 -1.711 4.588
1.711 1.711 -4.588
ATOMIC_POSITIONS crystal
Tl 0.000 0.000 0.000
Cr 0.312 0.312 0.000
Cu 0.675 0.675 0.000
! - Fermi-level density of states (states/eV per atom) = 0.522
! - total energy (eV per atom) = -4.85
! - formation energy from the elements (eV/atom) = 0.511
! - size of the total moment (μB/f.u.) = 4.2

---

No. 9
! ZrAlSi2 | Alexandria via LeMat-Bulk | GGA-PBE | relaxed; values from VASP
&SYSTEM
  ibrav = 0, nat = 4, ntyp = 3
/
ATOMIC_SPECIES
Zr 91.22 Zr.upf
Al 26.98 Al.upf
Si 28.09 Si.upf
CELL_PARAMETERS angstrom
2.888 0.000 0.000
0.000 4.464 0.000
0.000 0.000 5.172
ATOMIC_POSITIONS crystal
Zr 0.000 0.000 0.000
Al 0.500 0.000 0.500
Si 0.500 0.500 0.244
Si 0.500 0.500 0.756
! - Fermi-level density of states (states/eV per atom) = 0.418
! - total energy (eV per atom) = -6.08
! - raw formation energy (meV/atom) = -296.0
! - size of the total moment (μB/f.u.) = 0.0

---

No. 10
! Dy2TiAl | Alexandria via LeMat-Bulk | GGA-PBE | relaxed; values from VASP
&SYSTEM
  ibrav = 0, nat = 4, ntyp = 3
/
ATOMIC_SPECIES
Dy 162.50 Dy.upf
Ti 47.87 Ti.upf
Al 26.98 Al.upf
CELL_PARAMETERS angstrom
4.567 0.000 0.000
0.000 4.567 0.000
0.000 0.000 4.430
ATOMIC_POSITIONS crystal
Dy 0.000 0.500 0.000
Dy 0.500 0.000 0.000
Ti 0.000 0.000 0.500
Al 0.500 0.500 0.500
! - Fermi-level density of states (states/eV per atom) = 1.032
! - total energy (eV per atom) = -5.28
! - formation energy from the elements (eV/atom) = -0.073
! - size of the total moment (μB/f.u.) = 0.0

---

No. 11
! Sr2Tl3Au2 | Alexandria via LeMat-Bulk | GGA-PBE | relaxed; values from VASP
&SYSTEM
  ibrav = 0, nat = 7, ntyp = 3
/
ATOMIC_SPECIES
Sr 87.62 Sr.upf
Tl 204.38 Tl.upf
Au 196.97 Au.upf
CELL_PARAMETERS angstrom
2.341 -10.987 0.000
2.341 10.987 0.000
0.000 0.000 4.018
ATOMIC_POSITIONS crystal
Sr 0.166 0.834 0.000
Sr 0.834 0.166 0.000
Tl 0.000 0.000 0.000
Tl 0.427 0.573 0.500
Tl 0.573 0.427 0.500
Au 0.288 0.712 0.500
Au 0.712 0.288 0.500
! - Fermi-level density of states (states/eV per atom) = 0.480
! - total energy (eV per atom) = -2.89
! - formation energy from the elements (eV/atom) = -0.463
! - size of the total moment (μB/f.u.) = 0.0

---

No. 12
! TlFe2As | Alexandria via LeMat-Bulk | GGA-PBE | relaxed; values from VASP
&SYSTEM
  ibrav = 0, nat = 4, ntyp = 3
/
ATOMIC_SPECIES
Tl 204.38 Tl.upf
Fe 55.84 Fe.upf
As 74.92 As.upf
CELL_PARAMETERS angstrom
1.545 0.892 7.912
-1.545 0.892 7.912
0.000 -1.785 7.912
ATOMIC_POSITIONS crystal
Tl 0.000 0.000 0.000
Fe 0.239 0.239 0.239
Fe 0.761 0.761 0.761
As 0.500 0.500 0.500
! - Fermi-level density of states (states/eV per atom) = 1.101
! - total energy (eV per atom) = -5.54
! - formation energy from the elements (eV/atom) = 0.441
! - size of the total moment (μB/f.u.) = 4.4